No. 1
# La2ZnRu

An optimized crystal structure of La2ZnRu (PBE-GGA, Alexandria).

E	-5.415	eV per atom
energy of formation from the pure elements	-121	kJ/mol of formula units
total magnetization	0.000	μB/f.u.
DOS(E_F)	6.20	states/eV/cell

abc: 6.210 4.101 8.571
angles: 90.00 110.12 90.00
Positions (direct):
La1 0.186 0.250 0.409
La2 0.270 0.750 0.049
La3 0.730 0.250 0.951
La4 0.814 0.750 0.591
Zn1 0.357 0.750 0.715
Zn2 0.643 0.250 0.285
Ru1 0.113 0.250 0.780
Ru2 0.887 0.750 0.220


No. 2
# Cr2CoI

An optimized crystal structure of Cr2CoI (PBE-GGA, Alexandria).

E above lowest polymorph	0	kJ/mol of formula units
E	-6.034	eV per atom
total magnetization	0.214	μB/f.u.
DOS(E_F)	21.00	states/eV/cell
ΔE_f (raw)	0.942	eV per atom

abc: 6.015 6.015 6.015
angles: 90.00 90.00 90.00
Positions (direct):
Cr1 0.250 0.250 0.250
Cr2 0.250 0.250 0.750
Cr3 0.250 0.750 0.250
Cr4 0.250 0.750 0.750
Cr5 0.750 0.250 0.250
Cr6 0.750 0.250 0.750
Cr7 0.750 0.750 0.250
Cr8 0.750 0.750 0.750
Co1 0.000 0.000 0.000
Co2 0.000 0.500 0.500
Co3 0.500 0.000 0.500
Co4 0.500 0.500 0.000
I1 0.000 0.000 0.500
I2 0.000 0.500 0.000
I3 0.500 0.000 0.000
I4 0.500 0.500 0.500


No. 3
# ZrSc3Pt3

An optimized crystal structure of ZrSc3Pt3 (PBE-GGA, Alexandria).

E	-7.444	eV per atom
energy of formation from the pure elements	-621	kJ/mol of formula units
total magnetization	0.000	μB/f.u.
DOS(E_F)	11.39	states/eV/cell

abc: 6.640 6.640 6.360
angles: 90.00 90.00 90.02
Positions (direct):
Zr1 0.235 0.765 0.000
Zr2 0.765 0.235 0.000
Sc1 0.243 0.243 0.000
Sc2 0.248 0.752 0.500
Sc3 0.252 0.252 0.500
Sc4 0.748 0.748 0.500
Sc5 0.752 0.248 0.500
Sc6 0.757 0.757 0.000
Pt1 0.000 0.500 0.252
Pt2 0.000 0.500 0.748
Pt3 0.500 0.000 0.252
Pt4 0.500 0.000 0.748
Pt5 0.500 0.500 0.237
Pt6 0.500 0.500 0.763


No. 4
# LiSb2PdW

An optimized crystal structure of LiSb2PdW (PBE-GGA, Alexandria).

E	-4.614	eV per atom
total magnetization	3.280	μB/f.u.
DOS(E_F)	4.13	states/eV/cell
ΔE_f (raw)	1.047	eV per atom

abc: 5.232 5.232 5.042
angles: 90.00 90.00 90.00
Positions (direct):
Li1 0.000 0.000 0.000
Sb1 0.000 0.500 0.500
Sb2 0.500 0.000 0.500
Pd1 0.500 0.500 0.500
W1 0.500 0.500 0.000


No. 5
# Zn8Ag2Au3

An optimized crystal structure of Zn8Ag2Au3 (PBE-GGA, Alexandria).

E above lowest polymorph	0	kJ/mol of formula units
E	-2.053	eV per atom
energy of formation from the pure elements	-93	kJ/mol of formula units
total magnetization	0.000	μB/f.u.
DOS(E_F)	4.01	states/eV/cell

abc: 6.956 6.956 4.719
angles: 103.01 103.01 82.77
Positions (direct):
Zn1 0.075 0.075 0.283
Zn2 0.103 0.596 0.880
Zn3 0.352 0.352 0.431
Zn4 0.404 0.897 0.120
Zn5 0.596 0.103 0.880
Zn6 0.648 0.648 0.569
Zn7 0.897 0.404 0.120
Zn8 0.925 0.925 0.717
Ag1 0.204 0.204 0.861
Ag2 0.796 0.796 0.139
Au1 0.244 0.756 0.500
Au2 0.500 0.500 0.000
Au3 0.756 0.244 0.500


No. 6
# PaHg2Cl6

An optimized crystal structure of PaHg2Cl6 (PBE-GGA, Alexandria).

E	-3.570	eV per atom
total magnetization	0.167	μB/f.u.
DOS(E_F)	8.26	states/eV/cell
ΔE_f (raw)	-1.217	eV per atom

abc: 7.480 7.480 7.480
angles: 60.00 60.00 60.00
Positions (direct):
Pa1 0.000 0.000 0.000
Hg1 0.250 0.250 0.250
Hg2 0.750 0.750 0.750
Cl1 0.242 0.242 0.758
Cl2 0.242 0.758 0.242
Cl3 0.242 0.758 0.758
Cl4 0.758 0.242 0.242
Cl5 0.758 0.242 0.758
Cl6 0.758 0.758 0.242


Which of these has the highest total magnetization?
LiSb2PdW